# 1
Compound: LaEr6Th2
Source: Alexandria
Functional: GGA-PBE
Structure: optimized geometry

a = 6.7053 Å, b = 9.5392 Å, c = 9.5392 Å
α = 100.17°, β = 98.69°, γ = 98.69°
Atoms (fractional coordinates):
Er 0.1840 0.9586 0.7427
Th 0.1346 0.3820 0.3502
Er 0.6920 0.9181 0.5512
Er 0.6840 0.7427 0.9586
Er 0.4782 0.6410 0.2601
Er 0.0218 0.7399 0.3590
La 0.7500 0.0964 0.9036
Er 0.5218 0.3590 0.7399
Er 0.9782 0.2601 0.6410
Th 0.8654 0.6180 0.6498
Th 0.3654 0.6498 0.6180
Er 0.3080 0.0819 0.4488
Er 0.1920 0.5512 0.9181
Er 0.8160 0.0414 0.2573
Er 0.8080 0.4488 0.0819
Er 0.3160 0.2573 0.0414
La 0.2500 0.9036 0.0964
Th 0.6346 0.3502 0.3820

Summary:
ΔH_f (0 K): 139 meV per atom
Symmetry: C2/c
Calculated volume: 32.43 A^3/atom
Size of the total moment: 0.000 μB/cell

***

# 2
Compound: LaEr4Th
Source: Alexandria
Functional: GGA-PBE
Structure: optimized geometry

a = 6.5835 Å, b = 6.5835 Å, c = 6.5835 Å
α = 60.00°, β = 60.00°, γ = 60.00°
Atoms (fractional coordinates):
Th 0.0000 0.0000 0.0000
Er 0.6260 0.1221 0.6260
Er 0.6260 0.6260 0.1221
Er 0.1221 0.6260 0.6260
La 0.2500 0.2500 0.2500
Er 0.6260 0.6260 0.6260

Summary:
ΔH_f (0 K): 324 meV per atom
Symmetry: F-43m
Calculated volume: 33.63 A^3/atom
Size of the total moment: 3.805 μB/cell

***

# 3
Compound: La5Er4Th
Source: Alexandria
Functional: GGA-PBE
Structure: optimized geometry

a = 3.5374 Å, b = 11.1336 Å, c = 9.2397 Å
α = 74.04°, β = 101.04°, γ = 90.00°
Atoms (fractional coordinates):
La 0.7973 0.6003 0.5946
Er 0.6959 0.9208 0.3918
Th 0.5000 0.0000 0.0000
Er 0.9053 0.8195 0.8107
La 0.2027 0.3997 0.4054
La 0.8972 0.2786 0.7944
La 0.1028 0.7214 0.2056
Er 0.3041 0.0792 0.6082
La 0.5000 0.5000 0.0000
Er 0.0947 0.1805 0.1893

Summary:
ΔH_f (0 K): 82 meV per atom
Symmetry: C2/m
Calculated volume: 34.29 A^3/atom
Size of the total moment: 0.000 μB/cell

***

# 4
Compound: La4ErTh2
Source: Alexandria
Functional: GGA-PBE
Structure: optimized geometry

a = 3.6473 Å, b = 3.6473 Å, c = 21.0972 Å
α = 85.04°, β = 85.04°, γ = 60.00°
Atoms (fractional coordinates):
La 0.0969 0.0969 0.7094
Th 0.1895 0.1895 0.4316
La 0.3797 0.3797 0.8608
La 0.6203 0.6203 0.1392
Th 0.8105 0.8105 0.5684
La 0.9031 0.9031 0.2906
Er 0.0000 0.0000 0.0000

Summary:
ΔH_f (0 K): 40 meV per atom
Symmetry: R-3m
Calculated volume: 34.55 A^3/atom
Size of the total moment: 0.000 μB/cell

***

# 5
Compound: La8ErTh2
Source: Alexandria
Functional: GGA-PBE
Structure: optimized geometry

a = 5.8106 Å, b = 8.2524 Å, c = 9.6495 Å
α = 115.32°, β = 107.52°, γ = 90.00°
Atoms (fractional coordinates):
La 0.6381 0.4339 0.2761
La 0.3619 0.5661 0.7239
La 0.8396 0.8398 0.6792
Th 0.8016 0.3014 0.6032
La 0.0000 0.7067 0.9999
La 0.3621 0.1583 0.7242
Er 0.5000 0.0000 0.0000
La 0.1604 0.1602 0.3208
Th 0.1984 0.6986 0.3968
La 0.6379 0.8417 0.2758
La 0.0000 0.2933 0.0001

Summary:
ΔH_f (0 K): 141 meV per atom
Symmetry: Immm
Calculated volume: 35.85 A^3/atom
Size of the total moment: 0.000 μB/cell

***

# 6
Compound: LaEr4Th2
Source: Alexandria
Functional: GGA-PBE
Structure: optimized geometry

a = 3.5031 Å, b = 3.5031 Å, c = 21.3692 Å
α = 85.30°, β = 85.30°, γ = 60.00°
Atoms (fractional coordinates):
Er 0.8560 0.8560 0.4319
Th 0.2350 0.2350 0.2950
Er 0.1440 0.1440 0.5681
Er 0.2876 0.2876 0.1372
Er 0.7124 0.7124 0.8628
La 0.0000 0.0000 0.0000
Th 0.7650 0.7650 0.7050

Summary:
ΔH_f (0 K): 132 meV per atom
Symmetry: R-3m
Calculated volume: 32.30 A^3/atom
Size of the total moment: 0.000 μB/cell